[1]
Crystalline Tm3Th3Sc5 at its relaxed geometry. Source: the Alexandria database, functional GGA-PBE.

Cell: 5.903 8.388 7.583 Å, 111.25 97.02 62.01°
Positions (direct):
Tm (0.279, 0.815, 0.906)
Tm (0.812, 0.094, 0.276)
Tm (0.631, 0.005, 0.814)
Th (0.909, 0.634, 0.004)
Th (0.998, 0.182, 0.720)
Th (0.178, 0.278, 0.191)
Sc (0.100, 0.721, 0.451)
Sc (0.358, 0.368, 0.640)
Sc (0.545, 0.455, 0.090)
Sc (0.729, 0.546, 0.545)
Sc (0.460, 0.902, 0.364)

Symmetry: P1
ΔE to the lowest computed polymorph in kJ/mol of atoms: 0.0
Formation energy in eV per formula unit: 0.5

[2]
Crystalline Tm3Th4Sc2 at its relaxed geometry. Source: the Alexandria database, functional GGA-PBE.

Cell: 6.832 9.496 9.496 Å, 64.80 79.92 79.92°
Positions (direct):
Tm (0.329, 0.841, 0.830)
Tm (0.171, 0.170, 0.159)
Tm (0.671, 0.159, 0.170)
Tm (0.829, 0.830, 0.841)
Tm (0.250, 0.518, 0.482)
Tm (0.750, 0.482, 0.518)
Th (0.502, 0.177, 0.822)
Th (0.998, 0.178, 0.823)
Th (0.498, 0.823, 0.178)
Th (0.002, 0.822, 0.177)
Th (0.662, 0.832, 0.510)
Th (0.838, 0.490, 0.168)
Th (0.338, 0.168, 0.490)
Th (0.162, 0.510, 0.832)
Sc (0.163, 0.857, 0.498)
Sc (0.337, 0.502, 0.143)
Sc (0.837, 0.143, 0.502)
Sc (0.663, 0.498, 0.857)

Symmetry: C2/c
ΔE to the lowest computed polymorph in kJ/mol of atoms: 1.5
Formation energy in eV per formula unit: 1.2